Compound: Tb5ZrAg4
Source: Alexandria
Functional: GGA-PBE
Structure: relaxed Values from VASP.

The structure in Quantum ESPRESSO input format:
```
&SYSTEM
  ibrav = 0, nat = 10, ntyp = 3
/
ATOMIC_SPECIES
Tb 158.93 Tb.upf
Zr 91.22 Zr.upf
Ag 107.87 Ag.upf
CELL_PARAMETERS angstrom
3.566 0.000 0.000
0.000 3.566 0.000
0.000 0.000 19.576
ATOMIC_POSITIONS angstrom
Tb 1.783 1.783 2.220
Tb 1.783 1.783 6.007
Tb 1.783 1.783 9.788
Tb 1.783 1.783 13.568
Tb 1.783 1.783 17.356
Zr 0.000 0.000 0.000
Ag 0.000 0.000 4.111
Ag 0.000 0.000 7.915
Ag 0.000 0.000 11.661
Ag 0.000 0.000 15.465
```

Results
As for the energy of formation: -0.22 eV/atom. Its crystal system is tetragonal. The space group is P4/mmm. As for the total energy: -4.531 eV per atom.


Compound: NaMgPN2
Source: Alexandria
Functional: GGA-PBE
Structure: relaxed Values from VASP.

The structure in Quantum ESPRESSO input format:
```
&SYSTEM
  ibrav = 0, nat = 10, ntyp = 4
/
ATOMIC_SPECIES
Na 22.99 Na.upf
Mg 24.30 Mg.upf
P 30.97 P.upf
N 14.01 N.upf
CELL_PARAMETERS angstrom
-4.728 -2.684 -0.983
2.335 -2.773 -3.659
1.681 -4.417 3.975
ATOMIC_POSITIONS angstrom
Na 1.840 -5.034 1.029
Na -2.552 -4.841 -1.697
Mg -1.881 -2.411 0.515
Mg -1.166 -4.691 2.476
P 0.000 0.000 0.000
P 0.841 -2.209 1.987
N -1.420 -4.423 -3.845
N -2.332 -4.493 0.733
N 1.620 -5.382 -1.400
N 0.708 -5.452 3.178
```

Results
Its crystal system is monoclinic. The space group is P2/c. As for the total energy: -5.029 eV per atom. The calculation puts the uncorrected formation energy at -0.035 eV/atom.